Entry from Alexandria: a geometry-optimized InTe3Pb structure (PBEsol).

a b c (Å): 5.5753 5.5753 5.5753
angles (deg): 90.00 90.00 90.00
With the nearest neighbours (Å) after each atom.
Atoms (fractional coordinates):
1 In 0.0000 0.0000 0.0000  6 Te 2.79
2 Te 0.0000 0.0000 0.5000  2 In 2.79
3 Te 0.0000 0.5000 0.0000  2 In 2.79
4 Te 0.5000 0.0000 0.0000  2 In 2.79
5 Pb 0.5000 0.5000 0.5000  12 Te 3.94

- Symmetry: Pm-3m
- Formation energy without anion corrections: 0.2551 eV/atom
- VASP energy: -3.257 eV per atom